1.
A relaxed structure of Pm5Cu4Ag. Source: the Alexandria database, functional GGA-PBE.

The structure belongs to space group P4/mmm (No. 123); the cell edges are 3.580, 3.580 and 18.221 Å and the angles 90.00°, 90.00° and 90.00°. The distinct sites, in fractional coordinates, are Pm at (0.000, 0.000, 0.000), Pm at (0.000, 0.000, 0.196), Pm at (0.000, 0.000, 0.391), Cu at (0.500, 0.500, 0.098), Cu at (0.500, 0.500, 0.294) and Ag at (0.500, 0.500, 0.500).

For the size of the total moment, the calculation gives 0.00 μB/cell.

---

2.
A relaxed structure of Pm3Cu2Ag. Source: the Alexandria database, functional GGA-PBE.

The structure belongs to space group P4/mmm (No. 123); the cell edges are 3.607, 3.607 and 10.974 Å and the angles 90.00°, 90.00° and 90.00°. The distinct sites, in fractional coordinates, are Pm at (0.000, 0.000, 0.000), Pm at (0.000, 0.000, 0.322), Cu at (0.500, 0.500, 0.162) and Ag at (0.500, 0.500, 0.500).

For the size of the total moment, the calculation gives 0.00 μB/cell.

---

3.
A relaxed structure of Pm2Cu2Ag. Source: the Alexandria database, functional GGA-PBE.

The structure belongs to space group P4/mbm (No. 127); the cell edges are 7.583, 7.583 and 3.841 Å and the angles 90.00°, 90.00° and 90.00°. The distinct sites, in fractional coordinates, are Pm at (0.178, 0.322, 0.000), Cu at (0.118, 0.618, 0.500) and Ag at (0.000, 0.000, 0.500).

For the size of the total moment, the calculation gives 0.00 μB/cell.

---

4.
A relaxed structure of PmCuAg. Source: the Alexandria database, functional GGA-PBE.

The structure belongs to space group F-43m (No. 216); the cell edges are 6.566, 6.566 and 6.566 Å and the angles 90.00°, 90.00° and 90.00°. The distinct sites, in fractional coordinates, are Pm at (0.000, 0.000, 0.000), Cu at (0.250, 0.250, 0.750) and Ag at (0.000, 0.000, 0.500).

For the size of the total moment, the calculation gives 0.00 μB/cell.

---

5.
A relaxed structure of Pm3Cu4Ag4. Source: the Alexandria database, functional GGA-PBE.

The structure belongs to space group Immm (No. 71); the cell edges are 4.138, 7.543 and 14.369 Å and the angles 90.00°, 90.00° and 90.00°. The distinct sites, in fractional coordinates, are Pm at (0.000, 0.000, 0.000), Pm at (0.000, 0.500, 0.127), Cu at (0.000, 0.000, 0.221), Cu at (0.000, 0.172, 0.500) and Ag at (0.000, 0.307, 0.330).

For the size of the total moment, the calculation gives 0.00 μB/cell.

---

6.
A relaxed structure of Pm5CuAg4. Source: the Alexandria database, functional GGA-PBE.

The structure belongs to space group P4/mmm (No. 123); the cell edges are 3.674, 3.674 and 18.809 Å and the angles 90.00°, 90.00° and 90.00°. The distinct sites, in fractional coordinates, are Pm at (0.000, 0.000, 0.000), Pm at (0.000, 0.000, 0.204), Pm at (0.000, 0.000, 0.408), Cu at (0.500, 0.500, 0.500), Ag at (0.500, 0.500, 0.102) and Ag at (0.500, 0.500, 0.305).

For the size of the total moment, the calculation gives 0.00 μB/cell.

---

7.
A relaxed structure of Pm4CuAg3. Source: the Alexandria database, functional GGA-PBE.

The structure belongs to space group Pmm2 (No. 25); the cell edges are 3.905, 4.832 and 11.039 Å and the angles 90.00°, 90.00° and 90.00°. The distinct sites, in fractional coordinates, are Pm at (0.000, 0.000, 0.000), Pm at (0.000, 0.500, 0.274), Pm at (0.500, 0.000, 0.481), Pm at (0.500, 0.500, 0.778), Cu at (0.500, 0.000, 0.206), Ag at (0.000, 0.000, 0.710), Ag at (0.000, 0.500, 0.556) and Ag at (0.500, 0.500, 0.061).

For the size of the total moment, the calculation gives 0.00 μB/cell.

---

8.
A relaxed structure of Pm3Cu2Ag3. Source: the Alexandria database, functional GGA-PBE.

The structure belongs to space group P-62m (No. 189); the cell edges are 7.3704, 7.3704 and 3.8862 Å and the angles 90.00°, 90.00° and 120.00°. The distinct sites, in fractional coordinates, are Pm at (0.0000, 0.6051, 0.0000), Cu at (0.3333, 0.6667, 0.5000) and Ag at (0.0000, 0.2406, 0.5000).

For the size of the total moment, the calculation gives 0.00 μB/cell.

---

9.
A relaxed structure of PmCu2Ag. Source: the Alexandria database, functional GGA-PBE.

The structure belongs to space group P2_1/m (No. 11); the cell edges are 4.739, 4.330 and 7.692 Å and the angles 90.00°, 98.12° and 90.00°. The distinct sites, in fractional coordinates, are Pm at (0.080, 0.250, 0.209), Cu at (0.146, 0.250, 0.580), Cu at (0.364, 0.750, 0.488) and Ag at (0.472, 0.250, 0.883).

For the size of the total moment, the calculation gives 0.00 μB/cell.

---

10.
A relaxed structure of Pm3Cu2Ag4. Source: the Alexandria database, functional GGA-PBE.

The structure belongs to space group C2/m (No. 12); the cell edges are 10.763, 4.665 and 8.781 Å and the angles 90.00°, 114.28° and 90.00°. The distinct sites, in fractional coordinates, are Pm at (0.000, 0.000, 0.000), Pm at (0.173, 0.500, 0.655), Cu at (0.097, 0.500, 0.271), Ag at (0.045, 0.000, 0.373) and Ag at (0.219, 0.500, 0.063).

For the size of the total moment, the calculation gives 0.00 μB/cell.

---

11.
A relaxed structure of Pm2Cu2Ag. Source: the Alexandria database, functional GGA-PBE.

The structure belongs to space group Cmmm (No. 65); the cell edges are 4.072, 14.349 and 3.782 Å and the angles 90.00°, 90.00° and 90.00°. The distinct sites, in fractional coordinates, are Pm at (0.000, 0.127, 0.000), Cu at (0.000, 0.299, 0.500) and Ag at (0.000, 0.500, 0.500).

For the size of the total moment, the calculation gives 0.00 μB/cell.

---

12.
A relaxed structure of PmCuAg2. Source: the Alexandria database, functional GGA-PBE.

The structure belongs to space group P4/mmm (No. 123); the cell edges are 3.456, 3.456 and 6.821 Å and the angles 90.00°, 90.00° and 90.00°. The distinct sites, in fractional coordinates, are Pm at (0.000, 0.000, 0.000), Cu at (0.000, 0.000, 0.500) and Ag at (0.500, 0.500, 0.298).

For the size of the total moment, the calculation gives 0.00 μB/cell.

---

Computed theoretical density, in the same sequence as the records: 7.73; 7.79; 7.89; 7.43; 8.30; 7.98; 7.71; 8.04; 8.08; 8.21; 7.89; 8.65 Mg/m³.
Computed density of states at the Fermi level, in the same sequence as the records: 7.233; 4.288; 6.978; 8.317; 13.324; 7.100; 6.889; 6.410; 5.348; 13.169; 5.735; 1.938 states/eV per cell.
Computed formation energy from the elements, in the same sequence as the records: -0.1833; -0.1980; -0.2252; -0.0742; -0.1769; -0.2475; -0.2273; -0.2256; -0.1410; -0.2243; -0.2441; -0.0459 eV/atom.